An optimized crystal structure of BaLaMnInO6. Source: Alexandria, functional PBE+U.

The calculation puts the volume at 13.3 Å³/atom. Its energy above the most stable polymorph in this dataset is 0.0000 eV/atom. The space group is No. 216.

Cell lengths 5.7357, 5.7357, 5.7357 Å; angles 60.00, 60.00, 60.00 degrees
Fractional coordinates of all 10 atoms:
Ba 0.0000 0.0000 0.0000
La 0.5000 0.5000 0.5000
Mn 0.2500 0.2500 0.2500
In 0.7500 0.7500 0.7500
O 0.0127 0.0127 0.4873
O 0.0127 0.4873 0.0127
O 0.0127 0.4873 0.4873
O 0.4873 0.0127 0.0127
O 0.4873 0.0127 0.4873
O 0.4873 0.4873 0.0127